A relaxed structure of Pr11In9Au4. Source: the Alexandria database, functional GGA-PBE.

Calculated values
The formation enthalpy at 0 K comes out at -1403 kJ/mol of formula units. The calculation puts the magnetic moment at 0.0 μB per formula unit. The space group is No. 65. As for the final energy: -4.37 eV/atom.

Lattice parameters (Å, degrees): 13.741 13.741 3.895 90.00 90.00 112.99
Sites, in units of the cell vectors:
Pr 0.000 0.000 0.000
Pr 0.064 0.411 0.000
Pr 0.163 0.837 0.000
Pr 0.303 0.303 0.000
Pr 0.370 0.630 0.000
Pr 0.411 0.064 0.000
Pr 0.589 0.936 0.000
Pr 0.630 0.370 0.000
Pr 0.697 0.697 0.000
Pr 0.837 0.163 0.000
Pr 0.936 0.589 0.000
In 0.071 0.215 0.500
In 0.160 0.633 0.500
In 0.215 0.071 0.500
In 0.367 0.840 0.500
In 0.500 0.500 0.500
In 0.633 0.160 0.500
In 0.785 0.929 0.500
In 0.840 0.367 0.500
In 0.929 0.785 0.500
Au 0.247 0.448 0.500
Au 0.448 0.247 0.500
Au 0.552 0.753 0.500
Au 0.753 0.552 0.500